Record 1
A plane-wave DFT calculation with PBE was carried out for MgTi2CdSb after structural relaxation.

E_form (uncorrected), meV per atom: 1037
Crystal system: tetragonal
V, Å³/cell: 123.3
Spin magnetization, μB/atom: 0.01

Cell: 4.9264 4.9264 5.0793 Å, 90.00 90.00 90.00°
Last column: nearest neighbours and their distance in Å.
Space group P4/mmm (No. 123)
Symmetry-distinct sites (fractional):
Mg (0.0000, 0.0000, 0.0000) x1  4 Ti 2.46, 2 Sb 2.54
Ti (0.0000, 0.5000, 0.0000) x2  2 Mg 2.46
Cd (0.5000, 0.5000, 0.5000) x1  4 Sb 3.48, 8 Ti 3.54
Sb (0.0000, 0.0000, 0.5000) x1  2 Mg 2.54

=====

Record 2
A plane-wave DFT calculation with PBE was carried out for SrTl2Cd after structural relaxation.

Crystal system: monoclinic
DFT formation energy, eV/atom: -0.20
V, Å³/cell: 124.9
Spin magnetization, μB/atom: 0.00

Cell: 3.8989 5.1019 6.3710 Å, 90.00 99.76 90.00°
Last column: nearest neighbours and their distance in Å.
Space group P2/m (No. 10)
Symmetry-distinct sites (fractional):
Sr (0.0000, 0.0000, 0.0000) x1  2 Cd 3.44, 8 Tl 3.46-3.85
Tl (0.3300, 0.5000, 0.7271) x2  2 Cd 3.06, 1 Tl 3.38
Cd (0.5000, 0.0000, 0.5000) x1  4 Tl 3.06

=====

Record 3
A plane-wave DFT calculation with PBE was carried out for Y2HfNi after structural relaxation.

E above lowest polymorph, meV/atom: 0
Crystal system: tetragonal
DFT formation energy, eV/atom: -0.07
V, Å³/cell: 92.2
Spin magnetization, μB/atom: 0.00

Cell: 3.4065 3.4065 7.9449 Å, 90.00 90.00 90.00°
Last column: nearest neighbours and their distance in Å.
Space group P4/mmm (No. 123)
Symmetry-distinct sites (fractional):
Y (0.0000, 0.0000, 0.2102) x2  4 Ni 2.93
Hf (0.5000, 0.5000, 0.5000) x1  8 Y 3.33, 4 Hf 3.41
Ni (0.5000, 0.5000, 0.0000) x1  8 Y 2.93